Crystalline SrDyMn4O12 at its relaxed geometry. Source: Alexandria via LeMat-Bulk, functional PBE+U.

## Properties
The density of states at the Fermi level comes out at 4.7 states/eV per cell. The calculation puts the total energy at -6.764 eV per atom.

Geometry as CIF:
```
data_SrDyMn4O12
_chemical_formula_sum 'Sr1 Dy1 Mn4 O12'
_symmetry_space_group_name_H-M 'P 4/m m m'
_symmetry_Int_Tables_number 123
_symmetry_space_group_name_Hall '-P 4 2'
_cell_length_a 5.344
_cell_length_b 5.344
_cell_length_c 7.559
_cell_angle_alpha 90.00
_cell_angle_beta 90.00
_cell_angle_gamma 90.00
loop_
_atom_site_label
_atom_site_type_symbol
_atom_site_fract_x
_atom_site_fract_y
_atom_site_fract_z
Sr1 Sr 0.000 0.000 0.000
Dy1 Dy 0.500 0.500 0.500
Mn1 Mn 0.000 0.500 0.249
O1 O 0.000 0.500 0.000
O2 O 0.000 0.500 0.500
O3 O 0.260 0.260 0.267
```